# 1
This record from Alexandria via LeMat-Bulk describes a geometry-optimized SrAlAs2 structure. The functional is PBE-GGA.

## Properties
The value obtained for the formation energy is -0.520 eV per atom. The total magnetization is 0.00 μB per formula unit. Its calculated total energy is -0.1544 hartree per atom. The calculation puts the volume at 96.71 Å³ per cell.

Unit cell a=4.1638 b=4.1638 c=7.0142 alpha=104.37 beta=104.37 gamma=55.96
Element x y z (fractional)
Sr 0.0000 0.0000 0.0000
Al 0.5000 0.5000 0.5000
As 0.2313 0.2313 0.6895
As 0.7687 0.7687 0.3105



# 2
This record from Alexandria via LeMat-Bulk describes a geometry-optimized LaThTaN3 structure. The functional is PBE-GGA.

## Properties
The total magnetization is 0.00 μB per formula unit. Its calculated total energy is -0.3415 hartree per atom. The calculation puts the volume at 220.30 Å³ per cell.

Unit cell a=7.6664 b=3.5953 c=8.0032 alpha=90.00 beta=92.94 gamma=90.00
Element x y z (fractional)
La 0.1490 0.2500 0.1520
La 0.8510 0.7500 0.8480
Th 0.3862 0.7500 0.8277
Th 0.6138 0.2500 0.1723
Ta 0.1138 0.2500 0.5865
Ta 0.8862 0.7500 0.4135
N 0.1309 0.2500 0.8370
N 0.1650 0.7500 0.4770
N 0.3953 0.7500 0.1144
N 0.6047 0.2500 0.8856
N 0.8350 0.2500 0.5230
N 0.8691 0.7500 0.1630



Question: Among the records above, which one has the lowest calculated total energy?
Answer: LaThTaN3